Here is an optimized crystal structure of TiNiTeO6 from Alexandria. Energies are from PBE with a Hubbard U.

The uncorrected energy comes out at -58.1 eV per formula unit. The value obtained for the volume is 11.34 Å³ per atom.

It has space group P-31c (No. 163), with a = 5.1213 Å, b = 5.1213 Å, c = 8.9902 Å, α = 90.00°, β = 90.00° and γ = 120.00°. The asymmetric unit holds Ti at (0.3333, 0.6667, 0.2500), Ni at (0.0000, 0.0000, 0.0000), Te at (0.3333, 0.6667, 0.7500) and O at (0.0042, 0.3550, 0.6327).